{
  "formula": "BaCdF4",
  "functional": "PBE",
  "state": "relaxed",
  "raw_formation_energy_ev_per_atom": -2.969,
  "n_ef_per_ev_fu": 0.00,
  "spacegroup": "P4/mmm",
  "final_energy_ev_per_cell": -28.14,
  "m_tot_mub_per_fu": 0.00,
  "mass_density_g_cm3": 5.31,
  "lattice": [[-0.593, 4.045, -0.513], [-2.085, 0.144, 3.551], [5.100, 1.122, 2.950]],
  "species": ["F", "F", "F", "F", "Ba", "Cd"],
  "fractional_positions": [[0.500, 0.000, 0.722], [0.500, 0.000, 0.278], [0.000, 0.500, 0.278], [0.000, 0.500, 0.722], [0.000, 0.000, 0.000], [0.500, 0.500, 0.500]]
}